Entry 1:
Below is an optimized crystal structure of RbMo2Pb2, with properties calculated at the PBE-GGA level.

Geometry as POSCAR:
```
RbMo2Pb2
1.0
-0.762 4.847 2.246
-5.270 -0.311 -1.118
-3.777 0.223 4.720
Pb Rb Mo
2 1 2
Direct
0.250 0.750 0.500 Pb
0.750 0.250 0.500 Pb
0.000 0.000 0.000 Rb
0.616 0.616 0.768 Mo
0.384 0.384 0.232 Mo
```

Results
energy of formation	0.70	eV per atom
theoretical density	8.405	g cm⁻³
total energy	-26.52	eV/cell
Fermi-level density of states	0.87	states/eV/atom
distance to the lowest polymorph of the same formula	364	meV/atom



Entry 2:
Below is an optimized crystal structure of RbMo2Pb2, with properties calculated at the PBE-GGA level.

Geometry as POSCAR:
```
RbMo2Pb2
1.0
-1.562 -2.260 -2.465
3.143 -1.921 -0.231
-2.363 -8.160 6.214
Rb Mo Pb
1 2 2
Direct
0.000 0.000 0.000 Rb
0.250 0.750 0.500 Mo
0.750 0.250 0.500 Mo
0.365 0.365 0.269 Pb
0.635 0.635 0.731 Pb
```

Results
energy of formation	0.34	eV per atom
theoretical density	8.269	g cm⁻³
total energy	-28.35	eV/cell
Fermi-level density of states	0.77	states/eV/atom
distance to the lowest polymorph of the same formula	0	meV/atom



Entry 3:
Below is an optimized crystal structure of RbMo2Pb, with properties calculated at the PBE-GGA level.

Geometry as POSCAR:
```
RbMo2Pb
1.0
8.431 0.000 0.000
0.000 8.431 0.000
4.216 4.216 2.880
Mo Rb Pb
4 2 2
Direct
0.080 0.625 0.250 Mo
0.875 0.920 0.750 Mo
0.375 0.330 0.750 Mo
0.670 0.125 0.250 Mo
0.500 0.500 0.000 Rb
0.250 0.750 0.500 Rb
0.750 0.250 0.500 Pb
0.000 0.000 0.000 Pb
```

Results
energy of formation	1.96	eV per atom
theoretical density	7.860	g cm⁻³
total energy	-36.99	eV/cell
Fermi-level density of states	0.75	states/eV/atom



Entry 4:
Below is an optimized crystal structure of RbMo2Pb2, with properties calculated at the PBE-GGA level.

Geometry as POSCAR:
```
RbMo2Pb2
1.0
-4.425 -4.356 -6.761
-1.742 -7.014 5.660
-2.666 1.362 0.867
Pb Rb Mo
4 2 4
Direct
0.818 0.318 0.500 Pb
0.318 0.182 0.500 Pb
0.682 0.818 0.500 Pb
0.182 0.682 0.500 Pb
0.500 0.500 0.000 Rb
0.000 0.000 0.000 Rb
0.413 0.913 0.000 Mo
0.587 0.087 0.000 Mo
0.087 0.413 0.000 Mo
0.913 0.587 0.000 Mo
```

Results
energy of formation	0.59	eV per atom
theoretical density	8.748	g cm⁻³
total energy	-54.20	eV/cell
Fermi-level density of states	0.41	states/eV/atom
distance to the lowest polymorph of the same formula	250	meV/atom



Entry 5:
Below is an optimized crystal structure of Rb2MoPbS4, with properties calculated at the PBE-GGA level.

Geometry as POSCAR:
```
Rb2MoPbS4
1.0
-4.458 -3.705 -3.925
6.507 -0.379 -2.555
0.287 -2.515 6.527
Mo S Rb Pb
1 4 2 1
Direct
0.000 0.500 0.500 Mo
0.957 0.506 0.167 S
0.662 0.451 0.494 S
0.338 0.833 0.789 S
0.043 0.211 0.549 S
0.500 0.750 0.250 Rb
0.000 0.000 0.000 Rb
0.500 0.250 0.750 Pb
```

Results
theoretical density	3.795	g cm⁻³
total energy	-38.77	eV/cell
Fermi-level density of states	0.52	states/eV/atom
formation energy (no corrections)	-723	meV/atom



Entry 6:
Below is an optimized crystal structure of RbSnMoPb2, with properties calculated at the PBE-GGA level.

Geometry as POSCAR:
```
RbSnMoPb2
1.0
-2.596 -4.860 2.517
4.138 -3.212 -1.934
3.132 0.966 5.095
Pb Sn Mo Rb
2 1 1 1
Direct
0.500 0.000 0.000 Pb
0.000 0.000 0.500 Pb
0.500 0.500 0.500 Sn
0.000 0.500 0.000 Mo
0.000 0.000 0.000 Rb
```

Results
energy of formation	1.90	eV per atom
theoretical density	5.790	g cm⁻³
total energy	-13.69	eV/cell
Fermi-level density of states	0.83	states/eV/atom



Entry 7:
Below is an optimized crystal structure of RbYMo2Pb, with properties calculated at the PBE-GGA level.

Geometry as POSCAR:
```
RbYMo2Pb
1.0
-0.365 -5.197 -0.763
5.789 -0.394 -0.090
0.029 -0.766 5.209
Y Rb Pb Mo
1 1 1 2
Direct
0.000 0.500 0.000 Y
0.500 0.500 0.500 Rb
0.000 0.000 0.000 Pb
0.000 0.000 0.500 Mo
0.500 0.000 0.000 Mo
```

Results
energy of formation	1.80	eV per atom
theoretical density	5.919	g cm⁻³
total energy	-23.79	eV/cell
Fermi-level density of states	1.10	states/eV/atom



Entry 8:
Below is an optimized crystal structure of ReMo4Pb, with properties calculated at the PBE-GGA level.

Geometry as POSCAR:
```
ReMo4Pb
1.0
0.000 3.729 3.729
3.729 0.000 3.729
3.729 3.729 0.000
Mo Re Pb
4 1 1
Direct
0.376 0.376 0.871 Mo
0.871 0.376 0.376 Mo
0.376 0.871 0.376 Mo
0.376 0.376 0.376 Mo
0.000 0.000 0.000 Re
0.750 0.750 0.750 Pb
```

Results
energy of formation	0.60	eV per atom
theoretical density	12.444	g cm⁻³
total energy	-55.86	eV/cell
Fermi-level density of states	1.13	states/eV/atom



Entry 9:
Below is an optimized crystal structure of ReMoPb2, with properties calculated at the PBE-GGA level.

Geometry as POSCAR:
```
ReMoPb2
1.0
-2.888 3.373 1.085
0.200 -0.800 3.020
4.405 3.461 0.967
Pb Mo Re
2 1 1
Direct
0.000 0.482 0.499 Pb
0.000 0.018 0.001 Pb
0.500 0.750 0.750 Mo
0.500 0.250 0.250 Re
```

Results
energy of formation	1.14	eV per atom
theoretical density	14.244	g cm⁻³
total energy	-26.14	eV/cell
Fermi-level density of states	1.14	states/eV/atom
distance to the lowest polymorph of the same formula	795	meV/atom



Entry 10:
Below is an optimized crystal structure of ReMoPb2, with properties calculated at the PBE-GGA level.

Geometry as POSCAR:
```
ReMoPb2
1.0
4.474 -0.007 0.095
3.302 3.020 0.095
1.150 0.446 7.334
Mo Pb Re
1 2 1
Direct
0.236 0.236 0.321 Mo
0.999 0.999 0.069 Pb
0.751 0.751 0.682 Pb
0.514 0.514 0.427 Re
```

Results
energy of formation	0.65	eV per atom
theoretical density	11.696	g cm⁻³
total energy	-28.11	eV/cell
Fermi-level density of states	0.73	states/eV/atom
distance to the lowest polymorph of the same formula	301	meV/atom



Entry 11:
Below is an optimized crystal structure of Re4MoPb, with properties calculated at the PBE-GGA level.

Geometry as POSCAR:
```
Re4MoPb
1.0
-1.446 -0.800 4.987
-4.776 1.473 1.619
-3.625 -3.630 1.135
Re Pb Mo
4 1 1
Direct
0.124 0.625 0.625 Re
0.625 0.625 0.625 Re
0.625 0.625 0.124 Re
0.625 0.124 0.625 Re
0.000 0.000 0.000 Pb
0.250 0.250 0.250 Mo
```

Results
energy of formation	0.67	eV per atom
theoretical density	16.969	g cm⁻³
total energy	-60.32	eV/cell
Fermi-level density of states	0.65	states/eV/atom



Entry 12:
Below is an optimized crystal structure of ReMo3Pb, with properties calculated at the PBE-GGA level.

Geometry as POSCAR:
```
ReMo3Pb
1.0
-1.658 -0.003 -4.519
-4.512 -0.250 1.656
-0.236 4.807 0.084
Re Pb Mo
1 1 3
Direct
0.000 0.000 0.000 Re
0.500 0.500 0.500 Pb
0.000 0.500 0.000 Mo
0.500 0.000 0.000 Mo
0.000 0.000 0.500 Mo
```

Results
energy of formation	1.51	eV per atom
theoretical density	10.145	g cm⁻³
total energy	-41.09	eV/cell
Fermi-level density of states	1.29	states/eV/atom
distance to the lowest polymorph of the same formula	0	meV/atom



Entry 13:
Below is an optimized crystal structure of ReMoPb2, with properties calculated at the PBE-GGA level.

Geometry as POSCAR:
```
ReMoPb2
1.0
-3.674 0.527 -2.469
-1.754 -2.294 2.120
-2.382 2.869 4.157
Re Pb Mo
1 2 1
Direct
0.000 0.685 0.505 Re
0.500 0.284 0.307 Pb
0.000 0.966 0.943 Pb
0.500 0.565 0.745 Mo
```

Results
energy of formation	0.71	eV per atom
theoretical density	13.695	g cm⁻³
total energy	-27.84	eV/cell
Fermi-level density of states	0.39	states/eV/atom
distance to the lowest polymorph of the same formula	369	meV/atom



Entry 14:
Below is an optimized crystal structure of ReMoPb2, with properties calculated at the PBE-GGA level.

Geometry as POSCAR:
```
ReMoPb2
1.0
-0.059 5.951 2.822
1.025 1.406 6.352
1.961 -2.557 -5.744
Mo Re Pb
1 1 2
Direct
0.694 0.194 0.500 Mo
0.545 0.545 0.000 Re
0.273 0.773 0.500 Pb
0.989 0.989 0.000 Pb
```

Results
energy of formation	0.77	eV per atom
theoretical density	12.367	g cm⁻³
total energy	-27.63	eV/cell
Fermi-level density of states	0.63	states/eV/atom
distance to the lowest polymorph of the same formula	421	meV/atom



Entry 15:
Below is an optimized crystal structure of ReMoPb3, with properties calculated at the PBE-GGA level.

Geometry as POSCAR:
```
ReMoPb3
1.0
-1.316 4.848 1.814
1.014 -1.594 4.996
5.076 1.575 -0.528
Pb Re Mo
3 1 1
Direct
0.000 0.000 0.500 Pb
0.000 0.500 0.000 Pb
0.500 0.000 0.000 Pb
0.000 0.000 0.000 Re
0.500 0.500 0.500 Mo
```

Results
energy of formation	1.37	eV per atom
theoretical density	9.850	g cm⁻³
total energy	-27.55	eV/cell
Fermi-level density of states	0.70	states/eV/atom
distance to the lowest polymorph of the same formula	0	meV/atom



Entry 16:
Below is an optimized crystal structure of Re3MoPb, with properties calculated at the PBE-GGA level.

Geometry as POSCAR:
```
Re3MoPb
1.0
-0.998 4.598 -0.878
-3.318 -0.061 3.449
3.302 1.328 3.200
Mo Re Pb
1 3 1
Direct
0.000 0.000 0.000 Mo
0.000 0.500 0.000 Re
0.000 0.000 0.500 Re
0.500 0.000 0.000 Re
0.500 0.500 0.500 Pb
```

Results
energy of formation	2.07	eV per atom
theoretical density	13.051	g cm⁻³
total energy	-41.55	eV/cell
Fermi-level density of states	0.82	states/eV/atom
distance to the lowest polymorph of the same formula	0	meV/atom



Entry 17:
Below is an optimized crystal structure of ReMoPb2, with properties calculated at the PBE-GGA level.

Geometry as POSCAR:
```
ReMoPb2
1.0
-1.435 1.405 2.732
2.689 -0.883 1.867
2.985 5.945 -1.489
Re Pb Mo
1 2 1
Direct
0.500 0.500 0.250 Re
0.000 0.000 0.005 Pb
0.000 0.000 0.495 Pb
0.500 0.500 0.750 Mo
```

Results
energy of formation	1.08	eV per atom
theoretical density	14.756	g cm⁻³
total energy	-26.37	eV/cell
Fermi-level density of states	1.08	states/eV/atom
distance to the lowest polymorph of the same formula	737	meV/atom



Entry 18:
Below is an optimized crystal structure of ReMoPb2, with properties calculated at the PBE-GGA level.

Geometry as POSCAR:
```
ReMoPb2
1.0
-0.649 3.078 -0.619
-0.335 -0.697 -3.111
-8.521 -1.544 1.264
Mo Re Pb
1 1 2
Direct
0.500 0.500 0.698 Mo
0.000 0.000 0.550 Re
0.000 0.000 0.946 Pb
0.500 0.500 0.306 Pb
```

Results
energy of formation	0.35	eV per atom
theoretical density	12.861	g cm⁻³
total energy	-29.31	eV/cell
Fermi-level density of states	0.76	states/eV/atom
distance to the lowest polymorph of the same formula	0	meV/atom



Entry 19:
Below is an optimized crystal structure of ReMoPb2, with properties calculated at the PBE-GGA level.

Geometry as POSCAR:
```
ReMoPb2
1.0
-1.965 -1.401 4.223
2.832 -1.799 3.522
0.805 2.593 4.036
Re Mo Pb
1 1 2
Direct
0.250 0.250 0.250 Re
0.500 0.500 0.500 Mo
0.750 0.750 0.750 Pb
0.000 0.000 0.000 Pb
```

Results
energy of formation	1.05	eV per atom
theoretical density	14.213	g cm⁻³
total energy	-26.49	eV/cell
Fermi-level density of states	0.74	states/eV/atom
distance to the lowest polymorph of the same formula	707	meV/atom



Entry 20:
Below is an optimized crystal structure of ReMoPb, with properties calculated at the PBE-GGA level.

Geometry as POSCAR:
```
ReMoPb
1.0
3.163 0.000 0.000
-1.582 2.739 0.000
0.000 0.000 6.954
Pb Mo Re
1 1 1
Direct
0.333 0.667 0.334 Pb
0.000 0.000 0.954 Mo
0.667 0.333 0.712 Re
```

Results
energy of formation	0.65	eV per atom
theoretical density	13.484	g cm⁻³
total energy	-25.04	eV/cell
Fermi-level density of states	0.84	states/eV/atom
distance to the lowest polymorph of the same formula	76	meV/atom